Record 1
Material: K2ReHgS4
Method: DFT, PBE
State: relaxed

a b c (Å): 6.9745 6.9745 6.9745
angles (deg): 112.28 108.08 108.08
Last column: magnetic moment on the atom in μB.
Fractional positions:
Re 0.0000 0.5000 0.5000  0.52
S 0.3145 0.8173 0.8127  0.03
S 0.0046 0.1874 0.5018  0.03
S 0.9954 0.4972 0.1827  0.03
S 0.6855 0.4982 0.5028  0.03
K 0.5000 0.7500 0.2500  0.00
Hg 0.5000 0.2500 0.7500  0.00
K 0.0000 0.0000 0.0000  0.00

As for the space group: I-4, No. 82. Its uncorrected formation energy is -604.7 meV per atom. For the total magnetization, the calculation gives 0.90 μB/f.u. As for the density of states at the Fermi level: 4.0 states/eV/f.u.



Record 2
Material: KHg2Rh
Method: DFT, PBE
State: relaxed

a b c (Å): 5.0726 5.0726 5.0726
angles (deg): 60.00 60.00 60.00
Fractional positions:
K 0.0000 0.0000 0.0000
Rh 0.5000 0.5000 0.5000
Hg 0.7500 0.7500 0.7500
Hg 0.2500 0.2500 0.2500

As for the space group: Fm-3m, No. 225. As for the energy relative to the lowest polymorph listed for this composition: 245 meV per atom. The calculation puts the energy of formation at 267 meV per atom. For the total magnetization, the calculation gives 0.00 μB/f.u. As for the density of states at the Fermi level: 2.7 states/eV/f.u.



no.,density (g cm⁻³)
1,3.78
2,9.77